The following is a PBE calculation of crystalline CaFeNiI2 at its relaxed geometry, from Alexandria via LeMat-Bulk.

- Energy relative to the elements, uncorrected: 137 meV per atom
- Space group: P4/mmm (123)
- Crystal system: tetragonal

Cell: 5.201 5.201 4.359 Å, 90.00 90.00 90.00°
Fractional coordinates of all 5 atoms:
Ca 0.000 0.000 0.000
Fe 0.500 0.500 0.500
Ni 0.500 0.500 0.000
I 0.000 0.500 0.500
I 0.500 0.000 0.500